[1]
! Ba5Cr GGA-PBEsol optimized geometry; values from VASP
&SYSTEM
  ibrav = 0, nat = 6, ntyp = 2
/
ATOMIC_SPECIES
Ba 137.33 Ba.upf
Cr 52.00 Cr.upf
CELL_PARAMETERS angstrom
4.2143 0.0000 0.0000
0.0000 4.2143 0.0000
0.0000 0.0000 16.8028
ATOMIC_POSITIONS angstrom
Ba 0.0000 0.0000 0.0000
Ba 0.0000 0.0000 6.4763
Ba 0.0000 0.0000 10.3265
Ba 2.1072 2.1072 3.2372
Ba 2.1072 2.1072 13.5656
Cr 2.1072 2.1072 8.4014
! - Energy relative to the elements: 0.35 eV/atom
! - Calculated total energy: -3.15 eV per atom

***

[2]
! K2P3Se GGA-PBEsol optimized geometry; values from VASP
&SYSTEM
  ibrav = 0, nat = 24, ntyp = 3
/
ATOMIC_SPECIES
K 39.10 K.upf
P 30.97 P.upf
Se 78.96 Se.upf
CELL_PARAMETERS angstrom
8.2055 0.0000 0.0000
0.0000 6.2853 0.0000
-1.8196 0.0000 13.7987
ATOMIC_POSITIONS angstrom
K 0.1912 0.3685 4.6820
K -0.7186 2.7741 11.5813
K 2.0409 1.4688 8.4276
K 2.9507 1.6739 1.5282
K 3.4352 4.6114 12.2705
K 4.3450 4.8165 5.3711
K 7.1044 3.5112 2.2174
K 6.1946 5.9167 9.1167
P -0.5644 3.9958 6.2724
P -1.4742 5.4321 13.1718
P 1.3664 3.1897 5.5338
P 0.4566 6.2382 12.4332
P 1.3293 4.6201 7.1900
P 2.2391 4.8078 0.2907
P 4.1467 1.4775 13.5080
P 5.0565 1.6652 6.6087
P 5.9292 0.0471 1.3655
P 5.0194 3.0955 8.2649
P 7.8600 0.8532 0.6269
P 6.9502 2.2895 7.5263
Se 1.7937 4.1182 3.4809
Se 0.8839 5.3097 10.3802
Se 5.5019 0.9755 3.4185
Se 4.5921 2.1671 10.3178
! - Calculated total energy: -4.38 eV per atom

***

[3]
! KScFe GGA-PBEsol optimized geometry; values from VASP
&SYSTEM
  ibrav = 0, nat = 3, ntyp = 3
/
ATOMIC_SPECIES
K 39.10 K.upf
Sc 44.96 Sc.upf
Fe 55.84 Fe.upf
CELL_PARAMETERS angstrom
3.2589 0.0000 0.0000
-1.6295 2.8223 0.0000
0.0000 0.0000 7.8342
ATOMIC_POSITIONS angstrom
K 0.0000 0.0000 0.0000
Sc 0.0000 1.8815 4.2784
Fe 1.6295 0.9408 2.6096
! - Energy relative to the lowest polymorph listed for this composition: 0.41 eV per formula unit
! - Energy relative to the elements: 0.79 eV/atom
! - Calculated total energy: -4.78 eV per atom

***

[4]
! MnMo2W GGA-PBEsol optimized geometry; values from VASP
&SYSTEM
  ibrav = 0, nat = 16, ntyp = 3
/
ATOMIC_SPECIES
Mn 54.94 Mn.upf
Mo 95.94 Mo.upf
W 183.84 W.upf
CELL_PARAMETERS angstrom
6.1009 0.0000 0.0000
0.0000 6.1009 0.0000
0.0000 0.0000 6.1009
ATOMIC_POSITIONS angstrom
Mn 0.0000 0.0000 0.0000
Mn 0.0000 3.0505 3.0505
Mn 3.0505 0.0000 3.0505
Mn 3.0505 3.0505 0.0000
Mo 0.0000 0.0000 3.0505
Mo 0.0000 3.0505 0.0000
Mo 1.5252 1.5252 1.5252
Mo 1.5252 4.5757 4.5757
Mo 3.0505 0.0000 0.0000
Mo 3.0505 3.0505 3.0505
Mo 4.5757 1.5252 4.5757
Mo 4.5757 4.5757 1.5252
W 1.5252 1.5252 4.5757
W 1.5252 4.5757 1.5252
W 4.5757 1.5252 1.5252
W 4.5757 4.5757 4.5757
! - Energy relative to the lowest polymorph listed for this composition: 0.14 eV per formula unit
! - Energy relative to the elements: 0.12 eV/atom
! - Calculated total energy: -11.65 eV per atom

***

[5]
! KSiSe3 GGA-PBEsol optimized geometry; values from VASP
&SYSTEM
  ibrav = 0, nat = 5, ntyp = 3
/
ATOMIC_SPECIES
K 39.10 K.upf
Si 28.09 Si.upf
Se 78.96 Se.upf
CELL_PARAMETERS angstrom
5.3723 0.0000 0.0000
0.0000 5.3723 0.0000
0.0000 0.0000 5.3723
ATOMIC_POSITIONS angstrom
K 0.0000 0.0000 0.0000
Si 2.6862 2.6862 2.6862
Se 0.0000 0.0000 2.6862
Se 0.0000 2.6862 0.0000
Se 2.6862 0.0000 0.0000
! - Calculated total energy: -2.37 eV per atom

***

[6]
! AlSbBr2 GGA-PBEsol optimized geometry; values from VASP
&SYSTEM
  ibrav = 0, nat = 4, ntyp = 3
/
ATOMIC_SPECIES
Al 26.98 Al.upf
Sb 121.76 Sb.upf
Br 79.90 Br.upf
CELL_PARAMETERS angstrom
3.4836 0.0000 0.0000
0.0000 4.7055 0.0000
0.0000 0.0000 5.8835
ATOMIC_POSITIONS angstrom
Al 0.0000 0.0000 0.0000
Sb 1.7418 0.0000 2.9417
Br 0.0000 2.3527 2.9417
Br 1.7418 2.3527 0.0000
! - Energy relative to the lowest polymorph listed for this composition: 0.21 eV per formula unit
! - Calculated total energy: -3.16 eV per atom

***

[7]
! Y3Ta GGA-PBEsol optimized geometry; values from VASP
&SYSTEM
  ibrav = 0, nat = 8, ntyp = 2
/
ATOMIC_SPECIES
Y 88.91 Y.upf
Ta 180.95 Ta.upf
CELL_PARAMETERS angstrom
3.3182 0.0000 0.0000
0.0000 10.6442 0.0000
0.0000 0.0000 5.8727
ATOMIC_POSITIONS angstrom
Y 0.0000 0.0000 0.0000
Y 0.0000 2.5032 2.0713
Y 0.0000 8.1410 2.0713
Y 1.6591 2.8189 5.0077
Y 1.6591 5.3221 2.9363
Y 1.6591 7.8253 5.0077
Ta 0.0000 5.3221 0.1604
Ta 1.6591 0.0000 3.0967
! - Energy relative to the lowest polymorph listed for this composition: 0.00 eV per formula unit
! - Energy relative to the elements: 0.33 eV/atom
! - Calculated total energy: -7.92 eV per atom

***

[8]
! MgIn2Ru GGA-PBEsol optimized geometry; values from VASP
&SYSTEM
  ibrav = 0, nat = 16, ntyp = 3
/
ATOMIC_SPECIES
Mg 24.30 Mg.upf
In 114.82 In.upf
Ru 101.07 Ru.upf
CELL_PARAMETERS angstrom
6.6207 0.0000 0.0000
0.0000 6.6207 0.0000
0.0000 0.0000 6.6207
ATOMIC_POSITIONS angstrom
Mg 0.0000 0.0000 0.0000
Mg 0.0000 3.3104 3.3104
Mg 3.3104 0.0000 3.3104
Mg 3.3104 3.3104 0.0000
In 0.0000 0.0000 3.3104
In 0.0000 3.3104 0.0000
In 1.6552 1.6552 1.6552
In 1.6552 4.9655 4.9655
In 3.3104 0.0000 0.0000
In 3.3104 3.3104 3.3104
In 4.9655 1.6552 4.9655
In 4.9655 4.9655 1.6552
Ru 1.6552 1.6552 4.9655
Ru 1.6552 4.9655 1.6552
Ru 4.9655 1.6552 1.6552
Ru 4.9655 4.9655 4.9655
! - Energy relative to the elements: 0.22 eV/atom
! - Calculated total energy: -4.24 eV per atom